1.
# Al2Sn2Ge (PBE, relaxed)
data_Al2Sn2Ge
_chemical_formula_sum 'Al4 Sn4 Ge2'
_cell_length_a 8.3549
_cell_length_b 8.3549
_cell_length_c 3.2750
_cell_angle_alpha 90.00
_cell_angle_beta 90.00
_cell_angle_gamma 90.00
_space_group_name_H-M_alt 'P 1'
_space_group_IT_number 1
_space_group_name_Hall 'P 1'
loop_
_atom_site_label
_atom_site_fract_x
_atom_site_fract_y
_atom_site_fract_z
Sn1 0.1752 0.3248 0.0000
Sn2 0.3248 0.8248 0.0000
Sn3 0.6752 0.1752 0.0000
Sn4 0.8248 0.6752 0.0000
Ge1 0.0000 0.0000 0.0000
Ge2 0.5000 0.5000 0.0000
Al1 0.1217 0.6217 0.5000
Al2 0.3783 0.1217 0.5000
Al3 0.6217 0.8783 0.5000
Al4 0.8783 0.3783 0.5000
# Energy relative to the elements ... 0.268 eV per atom

2.
# Pm2HoTmS5 (PBE, relaxed)
data_Pm2HoTmS5
_chemical_formula_sum 'Pm2 Ho1 Tm1 S5'
_cell_length_a 4.8241
_cell_length_b 4.8241
_cell_length_c 10.1859
_cell_angle_alpha 90.00
_cell_angle_beta 90.00
_cell_angle_gamma 90.00
_space_group_name_H-M_alt 'P 1'
_space_group_IT_number 1
_space_group_name_Hall 'P 1'
loop_
_atom_site_label
_atom_site_fract_x
_atom_site_fract_y
_atom_site_fract_z
Pm1 0.5000 0.5000 0.2951
Pm2 0.5000 0.5000 0.7049
S1 0.0000 0.5000 0.5000
S2 0.0000 0.0000 0.2455
S3 0.5000 0.5000 0.0000
S4 0.5000 0.0000 0.5000
S5 0.0000 0.0000 0.7545
Ho1 0.0000 0.0000 0.0000
Tm1 0.0000 0.0000 0.5000
# Formation energy from raw total energies ... -1458 meV per atom

3.
# AcPmCo3 (PBE, relaxed)
data_AcPmCo3
_chemical_formula_sum 'Ac2 Pm2 Co6'
_cell_length_a 4.0280
_cell_length_b 4.3939
_cell_length_c 12.0376
_cell_angle_alpha 100.52
_cell_angle_beta 90.00
_cell_angle_gamma 90.00
_space_group_name_H-M_alt 'P 1'
_space_group_IT_number 1
_space_group_name_Hall 'P 1'
loop_
_atom_site_label
_atom_site_fract_x
_atom_site_fract_y
_atom_site_fract_z
Ac1 0.7500 0.9274 0.8548
Ac2 0.2500 0.0726 0.1452
Co1 0.7500 0.6241 0.2482
Co2 0.7500 0.5244 0.0489
Co3 0.2500 0.4756 0.9511
Co4 0.2500 0.6696 0.3391
Co5 0.7500 0.3304 0.6609
Co6 0.2500 0.3759 0.7518
Pm1 0.7500 0.2075 0.4149
Pm2 0.2500 0.7925 0.5851
# Energy relative to the elements ... -0.036 eV per atom

4.
# Pm3DyTm8 (PBE, relaxed)
data_Pm3DyTm8
_chemical_formula_sum 'Pm3 Dy1 Tm8'
_cell_length_a 8.3908
_cell_length_b 8.3978
_cell_length_c 8.3908
_cell_angle_alpha 96.13
_cell_angle_beta 136.23
_cell_angle_gamma 99.84
_space_group_name_H-M_alt 'P 1'
_space_group_IT_number 1
_space_group_name_Hall 'P 1'
loop_
_atom_site_label
_atom_site_fract_x
_atom_site_fract_y
_atom_site_fract_z
Tm1 0.1649 0.8331 0.3314
Tm2 0.1633 0.3314 0.8316
Tm3 0.8340 0.5835 0.7524
Tm4 0.1692 0.9186 0.7529
Tm5 0.5002 0.6686 0.8320
Tm6 0.4983 0.1669 0.3317
Tm7 0.1689 0.4165 0.2505
Tm8 0.8343 0.0814 0.2506
Pm1 0.8350 0.5000 0.3350
Pm2 0.4987 0.2493 0.7480
Pm3 0.4987 0.7507 0.2493
Dy1 0.8347 0.0000 0.8347
# Energy relative to the elements ... 0.012 eV per atom

5.
# KYSiO4 (PBE, relaxed)
data_KYSiO4
_chemical_formula_sum 'K2 Y2 Si2 O8'
_cell_length_a 5.6082
_cell_length_b 5.6706
_cell_length_c 7.3295
_cell_angle_alpha 90.00
_cell_angle_beta 105.89
_cell_angle_gamma 90.00
_space_group_name_H-M_alt 'P 1'
_space_group_IT_number 1
_space_group_name_Hall 'P 1'
loop_
_atom_site_label
_atom_site_fract_x
_atom_site_fract_y
_atom_site_fract_z
O1 0.0546 0.9759 0.3152
O2 0.4318 0.7500 0.5547
O3 0.5682 0.2500 0.4453
O4 0.9454 0.0241 0.6848
O5 0.0546 0.5241 0.3152
O6 0.5656 0.2500 0.8019
O7 0.9454 0.4759 0.6848
O8 0.4344 0.7500 0.1981
K1 0.6864 0.7500 0.9248
K2 0.3136 0.2500 0.0752
Y1 0.2148 0.2500 0.5451
Y2 0.7852 0.7500 0.4549
Si1 0.2488 0.7500 0.3353
Si2 0.7512 0.2500 0.6647
# Formation energy from raw total energies ... -2883 meV per atom

6.
# Te3W (PBE, relaxed)
data_Te3W
_chemical_formula_sum 'Te3 W1'
_cell_length_a 3.8626
_cell_length_b 4.5017
_cell_length_c 6.8639
_cell_angle_alpha 90.00
_cell_angle_beta 90.00
_cell_angle_gamma 90.00
_space_group_name_H-M_alt 'P 1'
_space_group_IT_number 1
_space_group_name_Hall 'P 1'
loop_
_atom_site_label
_atom_site_fract_x
_atom_site_fract_y
_atom_site_fract_z
Te1 0.5000 0.5000 0.9599
Te2 0.5000 0.0000 0.4449
Te3 0.0000 0.0000 0.0145
W1 0.0000 0.5000 0.2474
# Formation energy from raw total energies ... 704 meV per atom

7.
# NaSr2TlCu (PBE, relaxed)
data_NaSr2TlCu
_chemical_formula_sum 'Na1 Sr2 Tl1 Cu1'
_cell_length_a 5.9122
_cell_length_b 5.9122
_cell_length_c 5.3170
_cell_angle_alpha 90.00
_cell_angle_beta 90.00
_cell_angle_gamma 90.00
_space_group_name_H-M_alt 'P 1'
_space_group_IT_number 1
_space_group_name_Hall 'P 1'
loop_
_atom_site_label
_atom_site_fract_x
_atom_site_fract_y
_atom_site_fract_z
Tl1 0.5000 0.5000 0.5000
Cu1 0.0000 0.0000 0.0000
Na1 0.0000 0.0000 0.5000
Sr1 0.5000 0.0000 0.0000
Sr2 0.0000 0.5000 0.0000
# Energy relative to the elements ... 0.031 eV per atom

8.
# MgRhSeN2 (PBE, relaxed)
data_MgRhSeN2
_chemical_formula_sum 'Mg1 Rh1 Se1 N2'
_cell_length_a 3.8793
_cell_length_b 3.8793
_cell_length_c 5.3393
_cell_angle_alpha 90.00
_cell_angle_beta 90.00
_cell_angle_gamma 90.00
_space_group_name_H-M_alt 'P 1'
_space_group_IT_number 1
_space_group_name_Hall 'P 1'
loop_
_atom_site_label
_atom_site_fract_x
_atom_site_fract_y
_atom_site_fract_z
N1 0.0000 0.5000 0.0000
N2 0.5000 0.0000 0.0000
Mg1 0.0000 0.0000 0.0000
Rh1 0.5000 0.5000 0.5000
Se1 0.0000 0.0000 0.5000
# Formation energy from raw total energies ... 1497 meV per atom